# ErAg2Cl6 GGA-PBE relaxed
# E_form (uncorrected), eV per atom: -1.18
# Total magnetization, μB per formula unit: 0.00
# Crystal system: monoclinic
# Space-group type: C2/m, No. 12
data_ErAg2Cl6
_cell_length_a 3.9060
_cell_length_b 8.0681
_cell_length_c 9.4411
_cell_angle_alpha 83.71
_cell_angle_beta 90.00
_cell_angle_gamma 104.01
_space_group_name_H-M_alt 'P 1'
_space_group_IT_number 1
_space_group_name_Hall 'P 1'
loop_
_atom_site_label
_atom_site_fract_x
_atom_site_fract_y
_atom_site_fract_z
Er1 0.0000 0.0000 0.5000
Ag1 0.1921 0.3843 0.1667
Ag2 0.8079 0.6157 0.8333
Cl1 0.2125 0.4251 0.8425
Cl2 0.3879 0.7758 0.4819
Cl3 0.6121 0.2242 0.5181
Cl4 0.7875 0.5749 0.1575
Cl5 0.9651 0.9302 0.7784
Cl6 0.0349 0.0698 0.2216